1.
CaNO2F | Alexandria | PBE | relaxed; symmetry = No. 123; M_tot = 0.45 μB per cell; ΔE_f (raw) = -0.554 eV/atom
1.0
3.5656 0.0000 0.0000
0.0000 3.5656 0.0000
0.0000 0.0000 4.0191
Ca N O F
1 1 2 1
Cartesian
1.7828 1.7828 2.0096
0.0000 0.0000 0.0000
0.0000 1.7828 0.0000
1.7828 0.0000 0.0000
0.0000 0.0000 2.0096

=====

2.
NdTmZn4 | Alexandria | PBE | relaxed; formation enthalpy at 0 K = -0.351 eV per atom; energy relative to the lowest polymorph listed for this composition = 0.000 eV per atom; symmetry = No. 71; M_tot = 0.00 μB per cell
1.0
-1.2145 4.0586 1.4881
-5.5662 0.3102 1.3852
0.1484 0.4286 5.7264
Nd Tm Zn
1 1 4
Cartesian
0.0000 0.0000 0.0000
-2.7089 0.3694 3.5558
-4.0014 2.9214 2.3151
-5.3975 1.8187 4.1829
-2.6309 1.8760 6.2847
-1.2348 2.9786 4.4168

=====

3.
La3AgPt | Alexandria | PBE | relaxed; formation enthalpy at 0 K = -0.560 eV per atom; energy relative to the lowest polymorph listed for this composition = 0.000 eV per atom; symmetry = No. 12; M_tot = 0.00 μB per cell
1.0
-0.7340 -2.1829 -3.4289
5.2637 -4.1121 1.4911
-7.1096 -4.4213 6.8244
La Ag Pt
6 2 2
Cartesian
-6.4086 -7.5261 3.6753
3.8287 -3.1901 1.2113
-0.8125 -7.9042 5.2059
-1.7674 -2.8121 -0.3193
0.5044 -4.3351 2.6519
-3.0843 -6.3812 2.2348
0.2339 -7.5662 2.2789
-2.8138 -3.1501 2.6078
1.1649 -4.0330 -0.1697
-3.7447 -6.6833 5.0564

=====

4.
HoErTh2As4 | Alexandria | PBE | relaxed; formation enthalpy at 0 K = -1.458 eV per atom; symmetry = No. 10; M_tot = 0.00 μB per cell
1.0
-3.0240 -2.8955 0.0860
1.2609 -1.1092 6.9908
-4.1402 4.4417 3.9676
Ho Er Th As
1 1 2 4
Cartesian
-0.8816 -2.0024 3.5384
-1.4397 1.6663 5.4792
-4.1402 4.4417 3.9676
-3.5821 0.7731 2.0268
-2.1839 2.5231 8.1608
-3.7194 -2.0862 2.8836
-1.6309 -1.1401 6.2220
-4.2724 1.5771 4.8224

=====

5.
CeMg2H7 | Alexandria | PBE | relaxed; energy relative to the lowest polymorph listed for this composition = 0.086 eV per atom; symmetry = No. 65; M_tot = 1.00 μB per cell
1.0
3.5674 0.0000 0.0000
0.0000 6.2754 0.0000
0.0000 -3.1377 4.6977
Ce Mg H
1 2 7
Cartesian
0.0000 0.0000 0.0000
1.7837 3.1377 1.8134
1.7837 0.0000 2.8843
0.0000 3.1377 2.3367
0.0000 0.0000 2.3610
1.7837 2.0499 3.5392
1.7837 1.0878 1.1586
1.7837 5.1876 1.1586
1.7837 -2.0499 3.5392
1.7837 3.1377 0.0000

=====

6.
AcZn4F12 | Alexandria | PBE | relaxed; symmetry = No. 204; M_tot = 0.00 μB per cell; ΔE_f (raw) = -2.591 eV/atom
1.0
-2.4087 -5.1837 3.9688
6.9186 0.3872 0.6376
-2.8576 6.0066 2.0441
Ac Zn F
1 4 12
Cartesian
0.0000 0.0000 0.0000
3.4593 0.1936 0.3188
-1.2043 -2.5918 1.9844
0.8262 0.6051 3.3252
-1.4288 3.0033 1.0220
-0.2586 -3.7379 3.3692
2.0074 0.1445 1.7384
-2.9716 -0.4063 5.4687
-2.5784 3.4302 2.6412
4.6240 1.6164 1.1818
-0.3550 1.0656 4.9121
-0.3754 -0.8120 2.5044
2.0278 2.0221 4.1460
4.2308 -2.2201 4.0093
1.7434 -0.5858 4.6912
-0.0910 1.7960 1.9592
1.9110 4.9481 3.2813

=====

7.
PaBe2Tl2O6 | Alexandria | PBE | relaxed; symmetry = No. 166; M_tot = 0.00 μB per cell; ΔE_f (raw) = -2.176 eV/atom
1.0
-1.6929 -0.4952 -5.4190
3.0919 -3.0583 -3.6830
-2.5440 -5.8768 -1.6648
Pa Be Tl O
1 2 2 6
Cartesian
0.0000 0.0000 0.0000
-1.3697 -5.9577 -5.0208
0.2246 -3.4726 -5.7460
-0.5525 -6.5953 -8.2144
-0.5925 -2.8350 -2.5524
0.4619 -4.0015 -7.1806
1.2578 -3.7686 -4.6329
-0.9918 -2.5636 -5.4491
-0.1533 -6.8667 -5.3178
-2.4028 -5.6617 -6.1340
-1.6069 -5.4289 -3.5862

=====

8.
MnReRh2 | Alexandria | PBE | relaxed; formation enthalpy at 0 K = -0.105 eV per atom; energy relative to the lowest polymorph listed for this composition = 0.000 eV per atom; symmetry = No. 47; M_tot = 2.87 μB per cell
1.0
3.8096 0.0000 0.0000
0.0000 2.7323 -0.0103
0.0000 2.7508 5.3853
Re Mn Rh
1 1 2
Cartesian
1.9048 4.1123 4.0313
1.9048 1.3708 1.3438
0.0000 5.4817 5.3750
0.0000 2.7430 2.6876

=====

9.
La4GaAsBr2 | Alexandria | PBE | relaxed; symmetry = No. 10; M_tot = 0.00 μB per cell; ΔE_f (raw) = -1.257 eV/atom
1.0
-1.6603 -4.1063 -0.3384
0.2587 -0.7327 7.6209
-6.5685 2.4047 3.0469
La Ga As Br
4 1 1 2
Cartesian
-4.7977 1.2935 7.8414
-3.1723 -3.7279 2.4879
-2.3426 -1.9607 6.1282
-5.6275 -0.4737 4.2011
-7.2693 -0.0149 6.6881
-3.1549 0.8360 5.3338
-6.5685 2.4047 3.0469
-4.1144 -0.8508 1.3542

=====

10.
La6Y5 | Alexandria | PBE | relaxed; formation enthalpy at 0 K = 0.107 eV per atom; symmetry = No. 12; M_tot = 0.00 μB per cell
1.0
-1.3014 9.5668 2.9772
-7.0817 5.4378 -3.4252
-3.2500 1.6130 4.4683
La Y
6 5
Cartesian
-3.3409 8.7384 5.5361
-1.2105 2.4414 1.9094
-8.1620 8.5078 2.0855
-7.0175 13.1878 1.2108
-3.4711 8.1097 1.9348
-4.6156 3.4298 2.8095
-2.2757 5.5899 3.7228
-2.7361 4.9956 -0.1048
-5.6470 10.0090 -0.3432
-6.1021 5.9792 0.7990
-5.5310 10.6383 3.2213

=====

11.
TaRe3Ag | Alexandria | PBE | relaxed; formation enthalpy at 0 K = 2.881 eV per atom; energy relative to the lowest polymorph listed for this composition = 0.516 eV per atom; symmetry = No. 221; M_tot = 0.00 μB per cell
1.0
4.6683 0.0000 0.0000
0.0000 4.6683 0.0000
0.0000 0.0000 4.6683
Re Ag Ta
3 1 1
Cartesian
0.0000 2.3342 0.0000
0.0000 0.0000 2.3342
2.3342 0.0000 0.0000
0.0000 0.0000 0.0000
2.3342 2.3342 2.3342

=====

12.
HgPb3I6Br2 | Alexandria | PBE | relaxed; symmetry = No. 12; M_tot = 0.00 μB per cell; ΔE_f (raw) = -0.571 eV/atom
1.0
-3.3915 3.8042 -5.0391
-6.6610 -6.2745 -0.2538
-0.2643 6.7154 6.0143
Hg Pb I Br
1 3 6 2
Cartesian
-1.6958 1.9021 -2.5196
-3.3305 -3.1372 -0.1269
-5.1584 2.1226 0.3607
-1.8279 5.2598 0.4876
-4.8390 1.9907 -2.8517
-5.4778 2.2545 3.5731
-8.4110 2.2391 0.2984
-1.9058 2.0061 0.4231
-2.0702 5.4643 3.7030
-8.2466 -1.2192 -2.9815
-5.4174 -0.9490 0.5462
-4.8994 5.1942 0.1752

=====

13.
Zn6Au | Alexandria | PBE | relaxed; formation enthalpy at 0 K = 0.023 eV per atom; energy relative to the lowest polymorph listed for this composition = 0.000 eV per atom; symmetry = No. 125; M_tot = 0.00 μB per cell
1.0
-4.1548 2.6297 -0.9230
-2.4229 -2.5894 3.5290
2.5037 6.1406 6.2246
Zn Au
12 2
Cartesian
-2.9323 0.8945 2.1894
0.3565 0.8744 0.8864
2.1472 5.2662 5.3383
-1.1416 5.2863 6.6413
-4.1469 2.6397 3.8988
-2.4182 0.9523 4.8681
-2.3377 3.5560 2.2671
-0.6089 1.8686 3.2364
-3.2158 3.5613 6.2348
-0.7898 2.6191 6.1885
-2.6022 5.2344 4.3375
-0.1762 4.2921 4.2912
-2.0774 1.3148 -0.4615
-1.2114 -1.2947 1.7645

=====

14.
CsAcSe2O6 | Alexandria | PBE | relaxed; symmetry = No. 15; M_tot = 0.00 μB per cell; ΔE_f (raw) = -1.796 eV/atom
1.0
-3.1915 1.4206 -6.4005
1.7569 -7.0263 -0.8457
-6.4837 -0.3802 5.1977
Cs Ac Se O
2 2 4 12
Cartesian
-0.6810 -5.7268 -0.4633
-7.2374 -0.2591 -1.5851
-2.6606 -2.3477 -2.6854
-5.2579 -3.6381 0.6370
-6.0338 -0.4787 1.9972
-6.2764 -3.7345 -2.7376
-1.8846 -5.5072 -4.0457
-1.6420 -2.2514 0.6892
-3.6918 -1.8948 -4.9949
-3.3289 0.1006 -2.2839
-4.2266 -4.0911 2.9464
-4.5895 -6.0864 0.2355
-0.9072 -1.6726 -0.7522
-3.3427 -4.8513 -3.4163
-7.0112 -4.3133 -1.2963
-4.5757 -1.1345 1.3679
-2.8051 -3.3166 -0.1018
-0.8115 -4.2885 -3.3556
-5.1134 -2.6693 -1.9466
-7.1069 -1.6974 1.3072

=====

15.
ZnCrHRh2 | Alexandria | PBE | relaxed; energy relative to the lowest polymorph listed for this composition = 0.000 eV per atom; symmetry = No. 123; M_tot = 3.13 μB per cell
1.0
3.9595 0.0000 0.0000
0.0000 3.9595 0.0000
0.0000 0.0000 3.7193
Cr Zn Rh H
1 1 2 1
Cartesian
0.0000 0.0000 1.8597
1.9798 1.9798 1.8597
0.0000 1.9798 0.0000
1.9798 0.0000 0.0000
0.0000 0.0000 0.0000

=====

16.
Tm6Cu2Pt | Alexandria | PBE | relaxed; formation enthalpy at 0 K = -0.423 eV per atom; symmetry = No. 71; M_tot = 0.00 μB per cell
1.0
7.7076 0.2231 -2.7671
-3.9674 6.7099 -2.5200
-0.0430 -0.2231 8.1892
Tm Cu Pt
12 4 2
Cartesian
1.3559 4.8866 3.3322
2.3412 1.8234 -0.4301
-0.4169 1.6002 5.8383
4.1141 5.1097 -2.9363
3.2852 5.0639 0.4521
0.4119 1.6461 2.4499
-1.5632 4.8407 5.2420
5.2603 1.8692 -2.3399
3.9042 2.5415 2.6094
-0.2070 4.1685 0.2926
-1.5946 6.4129 2.2542
5.2918 0.2971 0.6479
2.3187 2.4481 4.8506
1.3784 4.2618 -1.9485
4.9346 0.0000 3.4908
2.7299 0.0000 1.9312
-2.0052 3.2434 2.8346
0.0000 0.0000 0.0000

=====

17.
CsTlN2 | Alexandria | PBE | relaxed; energy relative to the lowest polymorph listed for this composition = 0.000 eV per atom; symmetry = No. 166; M_tot = 2.00 μB per cell; ΔE_f (raw) = 1.297 eV/atom
1.0
2.7383 0.0000 7.3506
-1.3692 2.3715 7.3506
-1.3692 -2.3715 7.3506
Cs Tl N
1 1 2
Cartesian
0.0000 0.0000 11.0259
0.0000 0.0000 0.0000
0.0000 0.0000 20.0782
0.0000 0.0000 1.9736

=====

18.
Er8Ga2Fe | Alexandria | PBE | relaxed; formation enthalpy at 0 K = -0.196 eV per atom; symmetry = No. 12; M_tot = 0.00 μB per cell
1.0
5.1016 0.0000 0.0000
0.0000 6.6762 -0.1018
-2.5508 -3.0022 8.1688
Er Ga Fe
8 2 1
Cartesian
0.0000 1.3807 6.6245
2.5508 5.4577 2.3739
2.5508 2.9033 4.8006
2.5508 -1.4748 7.8382
0.0000 0.7708 3.2665
0.0000 -1.7837 5.6932
2.5508 2.2933 1.4426
0.0000 5.1489 0.2289
2.5508 0.0185 5.2368
0.0000 3.6556 2.8302
2.5508 0.0000 0.0000

=====

19.
ZnCrI6 | Alexandria | PBE | relaxed; symmetry = No. 12; M_tot = 2.68 μB per cell; ΔE_f (raw) = -0.284 eV/atom
1.0
-6.6389 1.4617 -1.1794
2.7382 -3.6371 -5.1842
-1.8379 -5.8827 3.1864
Zn Cr I
1 1 6
Cartesian
0.0000 0.0000 0.0000
-0.9189 -2.9414 1.5932
0.1572 -4.6683 -4.6360
-6.1694 -1.2282 -1.9340
0.4309 -6.8300 -1.2431
-5.8958 -3.3898 1.4589
-2.4531 -4.9388 0.5442
-3.2854 -3.1193 -3.7213

=====

20.
HfSeIN2 | Alexandria | PBE | relaxed; energy relative to the lowest polymorph listed for this composition = 0.125 eV per atom; symmetry = No. 123; M_tot = 0.00 μB per cell; ΔE_f (raw) = 0.531 eV/atom
1.0
-1.6077 -3.5542 -1.3611
3.6706 -1.0576 -1.5741
1.5600 -2.8258 5.5363
I Hf Se N
1 1 1 2
Cartesian
0.7800 -1.4129 2.7682
0.0000 0.0000 0.0000
1.8114 -3.7188 1.3006
1.8353 -0.5288 -0.7871
-0.8039 -1.7771 -0.6805